# 1
DFT (PBE) results for Hf2GaFe5B2 after structural relaxation.

Output
Formation energy from the elements   -461.0 meV per atom

Cell: 3.042 8.727 8.727 Å, 90.00 90.00 90.00°
Last column: magnetic moment on the atom in μB.
Atoms (fractional coordinates):
Fe1 0.500 0.779 0.932  0.82
Fe2 0.500 0.432 0.279  0.82
Fe3 0.500 0.000 0.500  0.63
Fe4 0.500 0.500 0.000  0.63
Fe5 0.500 0.279 0.568  0.82
Fe6 0.500 0.568 0.721  0.82
Fe7 0.500 0.932 0.221  0.82
Fe8 0.500 0.221 0.068  0.82
Fe9 0.500 0.068 0.779  0.82
Fe10 0.500 0.721 0.432  0.82
B1 0.000 0.880 0.380  -0.05
B2 0.000 0.620 0.880  -0.05
B3 0.000 0.120 0.620  -0.05
B4 0.000 0.380 0.120  -0.05
Hf1 0.000 0.324 0.824  -0.19
Hf2 0.000 0.176 0.324  -0.19
Hf3 0.000 0.676 0.176  -0.19
Hf4 0.000 0.824 0.676  -0.19
Ga1 0.000 0.000 0.000  -0.03
Ga2 0.000 0.500 0.500  -0.03



# 2
DFT (PBE) results for MgScCd2 after structural relaxation.

Output
Formation energy from the elements   -74.5 meV per atom

Cell: 9.867 9.867 9.867 Å, 19.30 19.30 19.30°
Atoms (fractional coordinates):
Cd1 0.500 0.500 0.500
Cd2 0.000 0.000 0.000
Mg1 0.250 0.250 0.250
Sc1 0.750 0.750 0.750



# 3
DFT (PBE) results for CrCo2Rh after structural relaxation.

Output
Formation energy from the elements   105.8 meV per atom

Cell: 8.415 8.415 8.415 Å, 17.77 17.77 17.77°
Last column: magnetic moment on the atom in μB.
Atoms (fractional coordinates):
Co1 0.251 0.251 0.251  1.47
Co2 0.996 0.996 0.996  1.68
Cr1 0.501 0.501 0.501  -0.22
Rh1 0.752 0.752 0.752  0.20



# 4
DFT (PBE) results for La3Cd2Pb after structural relaxation.

Output
Formation energy from the elements   -424.4 meV per atom

Cell: 3.948 5.592 16.945 Å, 90.00 90.00 90.00°
Atoms (fractional coordinates):
La1 0.499 0.000 0.500
La2 0.500 0.500 0.667
La3 0.500 0.000 0.833
La4 0.501 0.500 0.000
La5 0.500 0.500 0.333
La6 0.500 0.000 0.167
Cd1 0.000 0.500 0.826
Cd2 0.000 0.500 0.174
Cd3 0.000 0.000 0.326
Cd4 0.000 0.000 0.674
Pb1 0.999 0.500 0.500
Pb2 0.001 0.000 0.000



# 5
DFT (PBE) results for NaCl after structural relaxation.

Output
Formation energy from raw total energies   -3.30 eV per formula unit

Cell: 3.502 3.502 3.502 Å, 90.00 90.00 90.00°
Atoms (fractional coordinates):
Na1 0.000 0.000 0.000
Cl1 0.500 0.500 0.500



# 6
DFT (PBE) results for AcMg2Ag4Hg after structural relaxation.

Output
Formation energy from the elements   -158.6 meV per atom

Cell: 4.727 4.727 9.974 Å, 76.29 76.29 60.00°
Atoms (fractional coordinates):
Mg1 0.235 0.235 0.294
Mg2 0.765 0.765 0.706
Hg1 0.500 0.500 0.500
Ac1 0.000 0.000 0.000
Ag1 0.401 0.401 0.798
Ag2 0.599 0.599 0.202
Ag3 0.124 0.124 0.629
Ag4 0.876 0.876 0.371



no.,spin magnetization (μB per formula unit)
1,3.29
2,0.00
3,3.05
4,0.00
5,0.00
6,0.00